Version one
{
  "formula": "LiCaHS",
  "functional": "PBE",
  "state": "optimized geometry",
  "lattice_angstrom": [[-1.344, 0.645, 3.529], [1.319, -3.471, -0.942], [15.187, 4.419, 4.978]],
  "species": ["Li", "Li", "Li", "Ca", "Ca", "Ca", "H", "H", "H", "S", "S", "S"],
  "frac_coords": [[0.000, 0.000, 0.111], [0.333, 0.667, 0.777], [0.667, 0.333, 0.444], [0.000, 0.000, 0.603], [0.333, 0.667, 0.270], [0.667, 0.333, 0.937], [0.000, 0.000, 0.002], [0.333, 0.667, 0.668], [0.667, 0.333, 0.335], [0.000, 0.000, 0.832], [0.333, 0.667, 0.499], [0.667, 0.333, 0.166]],
  "magnetic_moment_mub_per_cell": 0.000
}

Version two
{
  "formula": "LiCaHS",
  "functional": "PBE",
  "state": "optimized geometry",
  "lattice_angstrom": [[4.614, 0.000, 0.000], [0.000, 3.945, 0.000], [0.000, 0.000, 3.988]],
  "species": ["Li", "Ca", "H", "S"],
  "frac_coords": [[0.000, 0.500, 0.671], [0.500, 0.000, 0.013], [0.000, 0.000, 0.906], [0.500, 0.500, 0.506]],
  "magnetic_moment_mub_per_cell": 0.000
}

Winner for stability: version two

Version one
{
  "formula": "Li2CaSbH",
  "functional": "PBE",
  "state": "optimized geometry",
  "lattice_angstrom": [[4.446, 0.000, 0.000], [-2.223, 5.556, 0.000], [0.000, 0.000, 7.625]],
  "species": ["Li", "Li", "Li", "Li", "Ca", "Ca", "Sb", "Sb", "H", "H"],
  "frac_coords": [[0.155, 0.311, 0.941], [0.845, 0.689, 0.059], [0.155, 0.311, 0.559], [0.845, 0.689, 0.441], [0.430, 0.859, 0.750], [0.570, 0.141, 0.250], [0.713, 0.426, 0.750], [0.287, 0.574, 0.250], [0.000, 0.000, 0.000], [0.000, 0.000, 0.500]],
  "magnetic_moment_mub_per_cell": 0.000
}

Version two
{
  "formula": "Li2CaSbH",
  "functional": "PBE",
  "state": "optimized geometry",
  "lattice_angstrom": [[4.434, 0.000, 0.000], [0.000, 4.434, 0.000], [0.000, 0.000, 4.666]],
  "species": ["Sb", "Ca", "H", "Li", "Li"],
  "frac_coords": [[0.500, 0.500, 0.500], [0.000, 0.000, 0.500], [0.000, 0.000, 0.000], [0.000, 0.500, 0.000], [0.500, 0.000, 0.000]],
  "magnetic_moment_mub_per_cell": 0.000
}

Winner for stability: version two